An optimized crystal structure of ZnFeAg. Source: Alexandria via LeMat-Bulk, functional PBE.

Results
As for the formation energy: 0.150 eV/atom. The calculation puts the energy relative to the lowest polymorph listed for this composition at 131 meV per atom.

Cell: 2.7353 2.7353 11.7297 Å, 90.00 90.00 90.00°
Space group I4mm (No. 107)
Asymmetric unit:
Zn: 0.0000 0.0000 0.0000 x2
Fe: 0.0000 0.0000 0.3514 x2
Ag: 0.0000 0.0000 0.6783 x2